(1)
RbNaY2Sn: optimized geometry, PBE.

Lattice parameters (Å, degrees): 5.823 5.537 5.823 90.00 90.00 90.00
Element x y z (fractional)
Y1 0.000 0.000 0.500
Y2 0.500 0.000 0.000
Na1 0.000 0.000 0.000
Rb1 0.000 0.500 0.000
Sn1 0.500 0.500 0.500

Calculated values
E_tot ... -3.046 eV/atom
Size of the total moment ... 0.266 μB/atom
Symmetry ... P4/mmm (123)

---

(2)
Rb2Na2ZnSn2: optimized geometry, PBE.

Lattice parameters (Å, degrees): 4.540 8.569 7.486 96.36 72.35 74.64
Element x y z (fractional)
Rb1 0.854 0.788 0.504
Zn1 0.000 0.000 0.000
Rb2 0.146 0.212 0.496
Sn1 0.544 0.831 0.081
Na1 0.278 0.579 0.865
Na2 0.722 0.421 0.135
Sn2 0.456 0.169 0.919

Calculated values
E_tot ... -2.078 eV/atom
Size of the total moment ... 0.000 μB/atom
Symmetry ... C2/m (12)

---

(3)
Rb2NaZn3Sn4: optimized geometry, PBE.

Lattice parameters (Å, degrees): 4.900 4.900 11.956 90.00 90.00 90.00
Element x y z (fractional)
Sn1 0.500 0.000 0.639
Na1 0.500 0.500 0.500
Rb1 0.500 0.000 0.247
Rb2 0.000 0.500 0.753
Zn1 0.500 0.000 0.868
Sn2 0.500 0.500 0.000
Zn2 0.000 0.000 0.500
Sn3 0.000 0.500 0.361
Zn3 0.000 0.500 0.132
Sn4 0.000 0.000 0.000

Calculated values
E_tot ... -2.355 eV/atom
Size of the total moment ... 0.000 μB/atom
Symmetry ... P-4m2 (115)

---

(4)
RbNaZnSn: optimized geometry, PBE.

Lattice parameters (Å, degrees): 5.440 5.440 5.440 60.00 60.00 60.00
Element x y z (fractional)
Sn1 0.250 0.250 0.250
Rb1 0.750 0.750 0.750
Na1 0.000 0.000 0.000
Zn1 0.500 0.500 0.500

Calculated values
E_tot ... -1.862 eV/atom
Size of the total moment ... 0.000 μB/atom
Symmetry ... F-43m (216)

---

(5)
RbNa5Sr: optimized geometry, PBE.

Lattice parameters (Å, degrees): 6.895 6.895 7.603 90.00 90.00 90.00
Element x y z (fractional)
Na1 0.500 0.000 0.243
Na2 0.000 0.500 0.757
Na3 0.000 0.500 0.243
Rb1 0.000 0.000 0.500
Sr1 0.500 0.500 0.000
Na4 0.500 0.500 0.500
Na5 0.500 0.000 0.757

Calculated values
Excess energy over the best structure of this formula in the dataset ... 0.468 eV/f.u.
E_tot ... -1.179 eV/atom
Size of the total moment ... 0.000 μB/atom
Symmetry ... P4/mmm (123)

---

(6)
RbNa4Sr: optimized geometry, PBE.

Lattice parameters (Å, degrees): 7.370 7.370 7.370 60.00 60.00 60.00
Element x y z (fractional)
Sr1 0.000 0.000 0.000
Na1 0.626 0.626 0.122
Na2 0.626 0.122 0.626
Rb1 0.250 0.250 0.250
Na3 0.626 0.626 0.626
Na4 0.122 0.626 0.626

Calculated values
Excess energy over the best structure of this formula in the dataset ... 0.000 eV/f.u.
E_tot ... -1.275 eV/atom
Size of the total moment ... 0.000 μB/atom
Symmetry ... F-43m (216)

---

(7)
RbNa2Sr2: optimized geometry, PBE.

Lattice parameters (Å, degrees): 11.388 11.388 4.233 90.00 90.00 90.00
Element x y z (fractional)
Na1 0.834 0.334 0.500
Rb1 0.000 0.000 0.000
Sr1 0.874 0.626 0.000
Sr2 0.374 0.874 0.000
Rb2 0.500 0.500 0.000
Na2 0.334 0.166 0.500
Na3 0.666 0.834 0.500
Na4 0.166 0.666 0.500
Sr3 0.626 0.126 0.000
Sr4 0.126 0.374 0.000

Calculated values
Excess energy over the best structure of this formula in the dataset ... 0.073 eV/f.u.
E_tot ... -1.291 eV/atom
Size of the total moment ... 0.000 μB/atom
Symmetry ... P4/mbm (127)

---

(8)
Rb3NaSr: optimized geometry, PBE.

Lattice parameters (Å, degrees): 7.368 7.368 7.368 90.00 90.00 90.00
Element x y z (fractional)
Rb1 0.500 0.000 0.000
Na1 0.000 0.000 0.000
Rb2 0.000 0.000 0.500
Sr1 0.500 0.500 0.500
Rb3 0.000 0.500 0.000

Calculated values
Excess energy over the best structure of this formula in the dataset ... 0.000 eV/f.u.
E_tot ... -0.947 eV/atom
Size of the total moment ... 0.000 μB/atom
Symmetry ... Pm-3m (221)

---

(9)
RbNa10Sr: optimized geometry, PBE.

Lattice parameters (Å, degrees): 5.782 7.257 12.496 90.00 90.00 90.00
Element x y z (fractional)
Rb1 0.000 0.000 0.000
Na1 0.000 0.500 0.175
Na2 0.500 0.739 0.267
Na3 0.500 0.000 0.500
Na4 0.500 0.500 0.000
Na5 0.000 0.000 0.660
Sr1 0.000 0.500 0.500
Na6 0.500 0.261 0.733
Na7 0.500 0.261 0.267
Na8 0.000 0.500 0.825
Na9 0.000 0.000 0.340
Na10 0.500 0.739 0.733

Calculated values
E_tot ... -1.280 eV/atom
Size of the total moment ... 0.000 μB/atom
Symmetry ... Pmmm (47)

---

(10)
RbNa3Sr2: optimized geometry, PBE.

Lattice parameters (Å, degrees): 4.563 4.563 14.450 90.00 90.00 90.00
Element x y z (fractional)
Na1 0.000 0.000 0.693
Sr1 0.500 0.500 0.848
Na2 0.000 0.000 0.307
Rb1 0.500 0.500 0.500
Na3 0.000 0.000 0.000
Sr2 0.500 0.500 0.152

Calculated values
E_tot ... -1.346 eV/atom
Size of the total moment ... 0.000 μB/atom
Symmetry ... P4/mmm (123)

---

(11)
Rb2NaSr: optimized geometry, PBE.

Lattice parameters (Å, degrees): 11.470 11.470 9.114 51.01 51.01 90.00
Element x y z (fractional)
Na1 0.500 0.500 0.000
Sr1 0.750 0.250 0.500
Na2 0.250 0.750 0.500
Rb1 0.375 0.416 0.750
Rb2 0.875 0.834 0.750
Rb3 0.166 0.625 0.250
Sr2 0.000 0.000 0.000
Rb4 0.584 0.125 0.250

Calculated values
Excess energy over the best structure of this formula in the dataset ... 0.347 eV/f.u.
E_tot ... -1.031 eV/atom
Size of the total moment ... 0.000 μB/atom
Symmetry ... I-42d (122)

---

(12)
Rb3NaSr: optimized geometry, PBE.

Lattice parameters (Å, degrees): 8.186 8.186 8.186 90.00 90.00 90.00
Element x y z (fractional)
Rb1 0.000 0.500 0.000
Sr1 0.000 0.000 0.000
Na1 0.500 0.500 0.500
Rb2 0.000 0.000 0.500
Rb3 0.500 0.000 0.000

Calculated values
Excess energy over the best structure of this formula in the dataset ... 1.021 eV/f.u.
E_tot ... -0.743 eV/atom
Size of the total moment ... 0.000 μB/atom
Symmetry ... Pm-3m (221)

---

(13)
RbNa5Sr: optimized geometry, PBE.

Lattice parameters (Å, degrees): 5.262 5.262 12.866 90.00 90.00 90.00
Element x y z (fractional)
Na1 0.000 0.500 0.771
Na2 0.000 0.000 0.000
Sr1 0.500 0.500 0.000
Na3 0.500 0.000 0.771
Rb1 0.000 0.000 0.500
Na4 0.000 0.500 0.229
Na5 0.500 0.000 0.229

Calculated values
Excess energy over the best structure of this formula in the dataset ... 0.000 eV/f.u.
E_tot ... -1.246 eV/atom
Size of the total moment ... 0.000 μB/atom
Symmetry ... P4/mmm (123)

---

(14)
Rb2NaSr: optimized geometry, PBE.

Lattice parameters (Å, degrees): 7.256 7.256 7.256 60.00 60.00 60.00
Element x y z (fractional)
Na1 0.000 0.000 0.000
Rb1 0.250 0.250 0.250
Rb2 0.750 0.750 0.750
Sr1 0.500 0.500 0.500

Calculated values
Excess energy over the best structure of this formula in the dataset ... 0.185 eV/f.u.
E_tot ... -1.071 eV/atom
Size of the total moment ... 0.000 μB/atom
Symmetry ... Fm-3m (225)

---

(15)
RbNa8Sr3: optimized geometry, PBE.

Lattice parameters (Å, degrees): 7.204 7.204 11.920 90.00 90.00 120.00
Element x y z (fractional)
Na1 0.164 0.329 0.242
Na2 0.671 0.836 0.242
Na3 0.164 0.836 0.242
Na4 0.333 0.667 0.000
Na5 0.992 0.496 0.758
Sr1 0.667 0.333 0.063
Rb1 0.000 0.000 0.565
Sr2 0.000 0.000 0.947
Sr3 0.667 0.333 0.425
Na6 0.504 0.496 0.758
Na7 0.504 0.008 0.758
Na8 0.333 0.667 0.497

Calculated values
E_tot ... -1.360 eV/atom
Size of the total moment ... 0.000 μB/atom
Symmetry ... P3m1 (156)

---

(16)
Rb2NaSr2: optimized geometry, PBE.

Lattice parameters (Å, degrees): 9.688 9.688 7.366 90.00 90.00 90.00
Element x y z (fractional)
Na1 0.000 0.000 0.000
Sr1 0.349 0.849 0.000
Sr2 0.849 0.651 0.000
Sr3 0.651 0.151 0.000
Na2 0.500 0.500 0.000
Rb1 0.832 0.332 0.500
Rb2 0.668 0.832 0.500
Sr4 0.151 0.349 0.000
Rb3 0.332 0.168 0.500
Rb4 0.168 0.668 0.500

Calculated values
Excess energy over the best structure of this formula in the dataset ... 0.000 eV/f.u.
E_tot ... -1.115 eV/atom
Size of the total moment ... 0.000 μB/atom
Symmetry ... P4/mbm (127)

---

(17)
RbNaSr2: optimized geometry, PBE.

Lattice parameters (Å, degrees): 4.331 4.331 14.418 81.36 81.36 60.00
Element x y z (fractional)
Na1 0.667 0.667 0.000
Sr1 0.260 0.260 0.221
Sr2 0.074 0.074 0.779
Rb1 0.500 0.500 0.500

Calculated values
E_tot ... -1.302 eV/atom
Size of the total moment ... 0.000 μB/atom
Symmetry ... R3m (160)

---

(18)
Rb2NaSr: optimized geometry, PBE.

Lattice parameters (Å, degrees): 6.935 6.120 6.120 90.00 90.00 90.00
Element x y z (fractional)
Rb1 0.000 0.000 0.500
Na1 0.500 0.500 0.500
Rb2 0.000 0.500 0.000
Sr1 0.500 0.000 0.000

Calculated values
Excess energy over the best structure of this formula in the dataset ... 0.063 eV/f.u.
E_tot ... -1.102 eV/atom
Size of the total moment ... 0.000 μB/atom
Symmetry ... P4/mmm (123)

---

(19)
RbNaSr3: optimized geometry, PBE.

Lattice parameters (Å, degrees): 6.829 6.829 6.829 90.00 90.00 90.00
Element x y z (fractional)
Sr1 0.000 0.000 0.500
Sr2 0.500 0.000 0.000
Rb1 0.500 0.500 0.500
Sr3 0.000 0.500 0.000
Na1 0.000 0.000 0.000

Calculated values
Excess energy over the best structure of this formula in the dataset ... 0.000 eV/f.u.
E_tot ... -1.218 eV/atom
Size of the total moment ... 0.000 μB/atom
Symmetry ... Pm-3m (221)

---

(20)
Rb2NaSr2: optimized geometry, PBE.

Lattice parameters (Å, degrees): 5.499 5.499 12.550 77.35 77.35 90.00
Element x y z (fractional)
Na1 0.000 0.000 0.000
Sr1 0.750 0.250 0.500
Sr2 0.250 0.750 0.500
Rb1 0.406 0.406 0.187
Rb2 0.594 0.594 0.813

Calculated values
Excess energy over the best structure of this formula in the dataset ... 0.177 eV/f.u.
E_tot ... -1.080 eV/atom
Size of the total moment ... 0.000 μB/atom
Symmetry ... I4/mmm (139)